<one>
The following is a DFT calculation (PBE) of a relaxed structure of CoNi3Ge.

The structure in CIF format:
```
data_CoNi3Ge
_chemical_formula_sum 'Co1 Ni3 Ge1'
_space_group_name_H-M_alt 'P 1'
_space_group_IT_number 1
_cell_length_a 4.273
_cell_length_b 4.273
_cell_length_c 4.273
_cell_angle_alpha 90.00
_cell_angle_beta 90.00
_cell_angle_gamma 90.00
loop_
_space_group_symop_operation_xyz
'x,y,z'
loop_
_atom_site_label
_atom_site_fract_x
_atom_site_fract_y
_atom_site_fract_z
_atom_site_occupancy
Ni1 0.000 0.500 0.000 1
Ni2 0.000 0.000 0.500 1
Ni3 0.500 0.000 0.000 1
Ge1 0.500 0.500 0.500 1
Co1 0.000 0.000 0.000 1
```

Computed properties:
DOS(E_F), states/eV/atom: 0.943
Total moment, μB/cell: 3.8

<two>
The following is a DFT calculation (PBE) of a relaxed structure of CoNi3Ge.

The structure in CIF format:
```
data_CoNi3Ge
_chemical_formula_sum 'Co1 Ni3 Ge1'
_space_group_name_H-M_alt 'P 1'
_space_group_IT_number 1
_cell_length_a 4.282
_cell_length_b 4.282
_cell_length_c 4.282
_cell_angle_alpha 90.00
_cell_angle_beta 90.00
_cell_angle_gamma 90.00
loop_
_space_group_symop_operation_xyz
'x,y,z'
loop_
_atom_site_label
_atom_site_fract_x
_atom_site_fract_y
_atom_site_fract_z
_atom_site_occupancy
Ni1 0.000 0.500 0.000 1
Ni2 0.000 0.000 0.500 1
Ni3 0.500 0.000 0.000 1
Ge1 0.000 0.000 0.000 1
Co1 0.500 0.500 0.500 1
```

Computed properties:
DOS(E_F), states/eV/atom: 1.599
Total moment, μB/cell: 2.7

<three>
The following is a DFT calculation (PBE) of a relaxed structure of CoNi3Ge.

The structure in CIF format:
```
data_CoNi3Ge
_chemical_formula_sum 'Co2 Ni6 Ge2'
_space_group_name_H-M_alt 'P 1'
_space_group_IT_number 1
_cell_length_a 5.726
_cell_length_b 5.726
_cell_length_c 5.726
_cell_angle_alpha 101.97
_cell_angle_beta 99.07
_cell_angle_gamma 129.42
loop_
_space_group_symop_operation_xyz
'x,y,z'
loop_
_atom_site_label
_atom_site_fract_x
_atom_site_fract_y
_atom_site_fract_z
_atom_site_occupancy
Co1 0.531 0.031 0.000 1
Co2 0.031 0.531 0.000 1
Ni1 0.032 0.215 0.683 1
Ni2 0.032 0.849 0.317 1
Ni3 0.532 0.715 0.683 1
Ni4 0.056 0.282 0.275 1
Ni5 0.532 0.349 0.317 1
Ni6 0.007 0.782 0.725 1
Ge1 0.558 0.782 0.277 1
Ge2 0.505 0.282 0.723 1
```

Computed properties:
DOS(E_F), states/eV/atom: 1.380
Total moment, μB/cell: 3.7

In terms of stability, <three> leads; the second structure lies 669 meV per atom higher.

<one>
The following is a DFT calculation (PBE) of a relaxed structure of PuCoNiGe.

The structure in CIF format:
```
data_PuCoNiGe
_chemical_formula_sum 'Pu1 Co1 Ni1 Ge1'
_space_group_name_H-M_alt 'P 1'
_space_group_IT_number 1
_cell_length_a 4.013
_cell_length_b 4.013
_cell_length_c 5.418
_cell_angle_alpha 68.26
_cell_angle_beta 68.26
_cell_angle_gamma 60.00
loop_
_space_group_symop_operation_xyz
'x,y,z'
loop_
_atom_site_label
_atom_site_fract_x
_atom_site_fract_y
_atom_site_fract_z
_atom_site_occupancy
Pu1 0.798 0.798 0.605 1
Co1 0.009 0.009 0.974 1
Ni1 0.322 0.322 0.035 1
Ge1 0.597 0.597 0.209 1
```

Computed properties:
DOS(E_F), states/eV/atom: 2.597
Total moment, μB/cell: 4.0

<two>
The following is a DFT calculation (PBE) of a relaxed structure of PuCoNiGe.

The structure in CIF format:
```
data_PuCoNiGe
_chemical_formula_sum 'Pu1 Co1 Ni1 Ge1'
_space_group_name_H-M_alt 'P 1'
_space_group_IT_number 1
_cell_length_a 4.438
_cell_length_b 4.438
_cell_length_c 4.438
_cell_angle_alpha 60.00
_cell_angle_beta 60.00
_cell_angle_gamma 60.00
loop_
_space_group_symop_operation_xyz
'x,y,z'
loop_
_atom_site_label
_atom_site_fract_x
_atom_site_fract_y
_atom_site_fract_z
_atom_site_occupancy
Ni1 0.500 0.500 0.500 1
Ge1 0.250 0.250 0.250 1
Co1 0.000 0.000 0.000 1
Pu1 0.750 0.750 0.750 1
```

Computed properties:
DOS(E_F), states/eV/atom: 1.702
Total moment, μB/cell: 3.1

In terms of stability, <one> leads; the second structure lies 77 meV per atom higher.

<one>
The following is a DFT calculation (PBE) of a relaxed structure of TiCoNiGe.

The structure in CIF format:
```
data_TiCoNiGe
_chemical_formula_sum 'Ti1 Co1 Ni1 Ge1'
_space_group_name_H-M_alt 'P 1'
_space_group_IT_number 1
_cell_length_a 3.890
_cell_length_b 3.890
_cell_length_c 4.323
_cell_angle_alpha 116.74
_cell_angle_beta 116.74
_cell_angle_gamma 90.00
loop_
_space_group_symop_operation_xyz
'x,y,z'
loop_
_atom_site_label
_atom_site_fract_x
_atom_site_fract_y
_atom_site_fract_z
_atom_site_occupancy
Ti1 0.250 0.750 0.500 1
Co1 0.000 0.000 0.000 1
Ni1 0.500 0.500 0.000 1
Ge1 0.750 0.250 0.500 1
```

Computed properties:
DOS(E_F), states/eV/atom: 0.395
Total moment, μB/cell: 1.0

<two>
The following is a DFT calculation (PBE) of a relaxed structure of TiCoNiGe.

The structure in CIF format:
```
data_TiCoNiGe
_chemical_formula_sum 'Ti1 Co1 Ni1 Ge1'
_space_group_name_H-M_alt 'P 1'
_space_group_IT_number 1
_cell_length_a 4.140
_cell_length_b 4.140
_cell_length_c 4.140
_cell_angle_alpha 60.00
_cell_angle_beta 60.00
_cell_angle_gamma 60.00
loop_
_space_group_symop_operation_xyz
'x,y,z'
loop_
_atom_site_label
_atom_site_fract_x
_atom_site_fract_y
_atom_site_fract_z
_atom_site_occupancy
Ni1 0.500 0.500 0.500 1
Ge1 0.250 0.250 0.250 1
Co1 0.000 0.000 0.000 1
Ti1 0.750 0.750 0.750 1
```

Computed properties:
DOS(E_F), states/eV/atom: 1.145
Total moment, μB/cell: 0.0

In terms of stability, <one> leads; the second structure lies 12 meV per atom higher.

<one>
The following is a DFT calculation (PBE) of a relaxed structure of UCoNiGe2.

The structure in CIF format:
```
data_UCoNiGe2
_chemical_formula_sum 'U2 Co2 Ni2 Ge4'
_space_group_name_H-M_alt 'P 1'
_space_group_IT_number 1
_cell_length_a 4.048
_cell_length_b 4.048
_cell_length_c 9.589
_cell_angle_alpha 90.00
_cell_angle_beta 90.00
_cell_angle_gamma 90.00
loop_
_space_group_symop_operation_xyz
'x,y,z'
loop_
_atom_site_label
_atom_site_fract_x
_atom_site_fract_y
_atom_site_fract_z
_atom_site_occupancy
U1 0.000 0.500 0.250 1
U2 0.500 0.000 0.750 1
Co1 0.000 0.500 0.629 1
Co2 0.500 0.000 0.371 1
Ni1 0.000 0.000 0.000 1
Ni2 0.500 0.500 0.000 1
Ge1 0.000 0.000 0.500 1
Ge2 0.500 0.500 0.500 1
Ge3 0.000 0.500 0.868 1
Ge4 0.500 0.000 0.132 1
```

Computed properties:
DOS(E_F), states/eV/atom: 1.798
Total moment, μB/cell: 2.8

<two>
The following is a DFT calculation (PBE) of a relaxed structure of UCoNiGe2.

The structure in CIF format:
```
data_UCoNiGe2
_chemical_formula_sum 'U1 Co1 Ni1 Ge2'
_space_group_name_H-M_alt 'P 1'
_space_group_IT_number 1
_cell_length_a 5.770
_cell_length_b 5.770
_cell_length_c 5.770
_cell_angle_alpha 139.55
_cell_angle_beta 139.55
_cell_angle_gamma 58.54
loop_
_space_group_symop_operation_xyz
'x,y,z'
loop_
_atom_site_label
_atom_site_fract_x
_atom_site_fract_y
_atom_site_fract_z
_atom_site_occupancy
U1 0.000 0.000 0.000 1
Co1 0.250 0.750 0.500 1
Ni1 0.750 0.250 0.500 1
Ge1 0.625 0.625 0.000 1
Ge2 0.375 0.375 0.000 1
```

Computed properties:
DOS(E_F), states/eV/atom: 1.507
Total moment, μB/cell: 3.4

In terms of stability, <one> leads; the second structure lies 40 meV per atom higher.

<one>
The following is a DFT calculation (PBE) of a relaxed structure of UCoNiGe2.

The structure in CIF format:
```
data_UCoNiGe2
_chemical_formula_sum 'U2 Co2 Ni2 Ge4'
_space_group_name_H-M_alt 'P 1'
_space_group_IT_number 1
_cell_length_a 4.120
_cell_length_b 4.120
_cell_length_c 9.316
_cell_angle_alpha 90.00
_cell_angle_beta 90.00
_cell_angle_gamma 90.00
loop_
_space_group_symop_operation_xyz
'x,y,z'
loop_
_atom_site_label
_atom_site_fract_x
_atom_site_fract_y
_atom_site_fract_z
_atom_site_occupancy
Ni1 0.000 0.500 0.623 1
Ni2 0.500 0.000 0.377 1
Ge1 0.000 0.500 0.870 1
Ge2 0.500 0.000 0.130 1
Ge3 0.500 0.500 0.500 1
Ge4 0.000 0.000 0.500 1
U1 0.000 0.500 0.236 1
U2 0.500 0.000 0.764 1
Co1 0.500 0.500 0.000 1
Co2 0.000 0.000 0.000 1
```

Computed properties:
DOS(E_F), states/eV/atom: 1.599
Total moment, μB/cell: 4.1

<two>
The following is a DFT calculation (PBE) of a relaxed structure of UCoNiGe2.

The structure in CIF format:
```
data_UCoNiGe2
_chemical_formula_sum 'U2 Co2 Ni2 Ge4'
_space_group_name_H-M_alt 'P 1'
_space_group_IT_number 1
_cell_length_a 4.189
_cell_length_b 4.189
_cell_length_c 10.591
_cell_angle_alpha 90.00
_cell_angle_beta 90.00
_cell_angle_gamma 90.00
loop_
_space_group_symop_operation_xyz
'x,y,z'
loop_
_atom_site_label
_atom_site_fract_x
_atom_site_fract_y
_atom_site_fract_z
_atom_site_occupancy
U1 0.000 0.500 0.821 1
U2 0.500 0.000 0.179 1
Co1 0.500 0.500 0.000 1
Co2 0.000 0.000 0.000 1
Ni1 0.000 0.500 0.601 1
Ni2 0.500 0.000 0.399 1
Ge1 0.500 0.500 0.500 1
Ge2 0.000 0.000 0.500 1
Ge3 0.000 0.500 0.129 1
Ge4 0.500 0.000 0.871 1
```

Computed properties:
DOS(E_F), states/eV/atom: 1.144
Total moment, μB/cell: 4.2

In terms of stability, <one> leads; the second structure lies 346 meV per atom higher.